An optimized crystal structure of Rb2GeWF6, computed with PBE+U.

Calculated values
The calculation puts the total energy at -4.807 eV per atom. Its symmetry is I4/mmm, No. 139.

Lattice parameters (Å, degrees): 6.1629 6.1629 6.9857 63.83 63.83 90.00
Last column: magnetic moment on the atom in μB.
Positions (direct):
F: 0.7571 0.7571 0.0000  0.03
F: 0.2429 0.2429 0.0000  0.03
F: 0.2429 0.7571 0.0000  0.03
F: 0.1932 0.1932 0.6136  0.04
F: 0.7571 0.2429 0.0000  0.03
F: 0.8068 0.8068 0.3864  0.04
Rb: 0.7500 0.2500 0.5000  0.01
Rb: 0.2500 0.7500 0.5000  0.01
Ge: 0.5000 0.5000 0.0000  0.36
W: 0.0000 0.0000 0.0000  2.81